Below is BaZr2P after structural relaxation, with properties calculated at the PBE level.

Cell: 11.709 3.512 5.792 Å, 90.00 116.88 90.00°
Space group C2/m (No. 12)
Inequivalent atoms, fractional coordinates:
1 Ba 0.000 0.000 0.000 [2 per cell]
2 Zr 0.180 0.000 0.666 [4 per cell]
3 P 0.000 0.500 0.500 [2 per cell]

Properties
For the total moment, the calculation gives 0.00 Bohr magnetons per cell. The value obtained for the formation energy is -0.27 eV/atom. The calculation puts the raw total energy at -50.98 eV per cell. The value obtained for the density is 5.5 g/cm³.